# 1
Entry from Alexandria: an optimized crystal structure of Nb2GaTe (PBE).

**Formation energy from raw total energies**: 20 kJ/mol of atoms

abc: 4.104 4.104 10.237
angles: 78.44 78.44 90.00
Positions (direct):
Nb  0.609  0.125  0.250
Nb  0.141  0.625  0.250
Nb  0.375  0.391  0.750
Nb  0.875  0.859  0.750
Te  0.000  0.000  0.000
Te  0.750  0.250  0.500
Ga  0.500  0.500  0.000
Ga  0.250  0.750  0.500

=====

# 2
Entry from Alexandria: an optimized crystal structure of Co2AgPt (PBE).

**E_form**: 0.88 eV/f.u.

abc: 4.711 4.711 4.711
angles: 132.43 132.43 69.55
Positions (direct):
Ag  0.750  0.250  0.500
Co  0.000  0.000  0.000
Co  0.250  0.750  0.500
Pt  0.500  0.500  0.000

=====

# 3
Entry from Alexandria: an optimized crystal structure of PrTm5Mg4 (PBE).

**E_form**: -0.40 eV/f.u.

abc: 3.712 3.712 20.199
angles: 90.00 90.00 90.00
Positions (direct):
Pr  0.000  0.000  0.000
Tm  0.500  0.500  0.122
Tm  0.500  0.500  0.312
Tm  0.500  0.500  0.500
Tm  0.500  0.500  0.688
Tm  0.500  0.500  0.878
Mg  0.000  0.000  0.218
Mg  0.000  0.000  0.405
Mg  0.000  0.000  0.595
Mg  0.000  0.000  0.782

=====

# 4
Entry from Alexandria: an optimized crystal structure of TiTe3I (PBE).

**Formation energy from raw total energies**: -7 kJ/mol of atoms

abc: 5.363 5.363 5.363
angles: 90.00 90.00 90.00
Positions (direct):
I  0.500  0.500  0.500
Te  0.000  0.500  0.000
Te  0.000  0.000  0.500
Te  0.500  0.000  0.000
Ti  0.000  0.000  0.000

=====

# 5
Entry from Alexandria: an optimized crystal structure of PrYRu4 (PBE).

**E_form**: -1.11 eV/f.u.

abc: 5.396 5.396 5.396
angles: 60.00 60.00 60.00
Positions (direct):
Pr  0.250  0.250  0.250
Ru  0.625  0.625  0.124
Ru  0.625  0.124  0.625
Ru  0.625  0.625  0.625
Ru  0.124  0.625  0.625
Y  0.000  0.000  0.000

=====

# 6
Entry from Alexandria: an optimized crystal structure of CsTaHg2 (PBE).

**E_form**: 3.60 eV/f.u.

abc: 6.374 6.374 9.885
angles: 71.19 71.19 90.00
Positions (direct):
Cs  0.500  0.500  0.000
Cs  0.250  0.750  0.500
Hg  0.836  0.125  0.250
Hg  0.914  0.625  0.250
Hg  0.375  0.164  0.750
Hg  0.875  0.086  0.750
Ta  0.000  0.000  0.000
Ta  0.750  0.250  0.500

=====

# 7
Entry from Alexandria: an optimized crystal structure of KSb4Pt (PBE).

**Formation energy from raw total energies**: 31 kJ/mol of atoms

abc: 6.226 6.226 6.226
angles: 60.00 60.00 60.00
Positions (direct):
K  0.750  0.750  0.750
Sb  0.883  0.372  0.372
Sb  0.372  0.372  0.883
Sb  0.372  0.883  0.372
Sb  0.372  0.372  0.372
Pt  0.000  0.000  0.000

=====

# 8
Entry from Alexandria: an optimized crystal structure of K3MoPb (PBE).

**E_form**: 5.76 eV/f.u.

abc: 6.796 6.796 6.796
angles: 90.00 90.00 90.00
Positions (direct):
Pb  0.000  0.000  0.000
Mo  0.500  0.500  0.500
K  0.000  0.500  0.000
K  0.000  0.000  0.500
K  0.500  0.000  0.000